DFT (GGA-PBE) results for an optimized crystal structure of HfIr.

The structure in POSCAR format:
```
HfIr
1.0
5.942 0.000 0.000
0.000 5.942 0.000
0.000 0.000 5.942
Hf Ir
4 4
Direct
0.000 0.000 0.000
0.000 0.500 0.500
0.500 0.000 0.500
0.500 0.500 0.000
0.250 0.250 0.750
0.250 0.750 0.250
0.750 0.250 0.250
0.750 0.750 0.750
```

Space-group type = F-43m (216)
Magnetic moment = 0.0 Bohr magnetons per cell
Formation energy from the elements = 0.19 eV/atom

=====

DFT (GGA-PBE) results for an optimized crystal structure of HfIr.

The structure in POSCAR format:
```
HfIr
1.0
0.000 4.143 5.249
3.506 0.000 5.249
3.506 4.143 0.000
Hf Ir
4 4
Direct
0.075 0.675 0.075
0.325 0.925 0.325
0.675 0.075 0.675
0.925 0.325 0.925
0.178 0.572 0.572
0.428 0.822 0.822
0.572 0.178 0.178
0.822 0.428 0.428
```

Space-group type = Fddd (70)
Magnetic moment = 0.0 Bohr magnetons per cell
Formation energy from the elements = -0.70 eV/atom

=====

DFT (GGA-PBE) results for an optimized crystal structure of HfIr.

The structure in POSCAR format:
```
HfIr
1.0
5.375 0.000 0.000
0.000 5.375 0.000
0.000 0.000 5.373
Hf Ir
4 4
Direct
0.216 0.216 0.000
0.284 0.716 0.500
0.716 0.284 0.500
0.784 0.784 0.000
0.214 0.214 0.500
0.286 0.714 0.000
0.714 0.286 0.000
0.786 0.786 0.500
```

Space-group type = P4_2/mnm (136)
Magnetic moment = 0.0 Bohr magnetons per cell
Formation energy from the elements = -0.59 eV/atom

=====

DFT (GGA-PBE) results for an optimized crystal structure of Hf3Ir.

The structure in POSCAR format:
```
Hf3Ir
1.0
3.160 0.000 0.000
0.000 9.787 0.000
0.000 0.000 5.286
Hf Ir
6 2
Direct
0.000 0.000 0.000
0.000 0.212 0.567
0.000 0.788 0.567
0.500 0.288 0.067
0.500 0.500 0.500
0.500 0.712 0.067
0.000 0.500 0.906
0.500 0.000 0.406
```

Space-group type = Imm2 (44)
Magnetic moment = 0.0 Bohr magnetons per cell
Formation energy from the elements = -0.43 eV/atom

=====

DFT (GGA-PBE) results for an optimized crystal structure of Hf4Ir.

The structure in POSCAR format:
```
Hf4Ir
1.0
4.999 0.000 0.000
0.000 4.999 0.000
0.000 0.000 4.999
Hf Ir
4 1
Direct
0.000 0.000 0.000
0.000 0.500 0.500
0.500 0.000 0.500
0.500 0.500 0.000
0.500 0.500 0.500
```

Space-group type = Pm-3m (221)
Magnetic moment = 0.0 Bohr magnetons per cell
Relative energy among the computed polymorphs = 259 kJ/mol of formula units
Formation energy from the elements = 0.29 eV/atom

=====

DFT (GGA-PBE) results for an optimized crystal structure of Hf5Ir2.

The structure in POSCAR format:
```
Hf5Ir2
1.0
7.433 -3.147 0.000
7.433 3.147 0.000
-0.491 0.000 6.237
Hf Ir
10 4
Direct
0.036 0.964 0.750
0.167 0.286 0.283
0.276 0.542 0.042
0.286 0.167 0.783
0.458 0.724 0.458
0.542 0.276 0.542
0.714 0.833 0.217
0.724 0.458 0.958
0.833 0.714 0.717
0.964 0.036 0.250
0.114 0.661 0.449
0.339 0.886 0.051
0.661 0.114 0.949
0.886 0.339 0.551
```

Space-group type = C2/c (15)
Magnetic moment = 0.0 Bohr magnetons per cell
Formation energy from the elements = -0.55 eV/atom

=====

DFT (GGA-PBE) results for an optimized crystal structure of HfIr.

The structure in POSCAR format:
```
HfIr
1.0
8.101 0.000 0.000
0.000 8.101 0.000
0.000 0.000 4.931
Hf Ir
8 8
Direct
0.096 0.309 0.000
0.096 0.691 0.500
0.309 0.096 0.500
0.309 0.904 0.000
0.691 0.096 0.000
0.691 0.904 0.500
0.904 0.309 0.500
0.904 0.691 0.000
0.238 0.404 0.500
0.238 0.596 0.000
0.404 0.238 0.000
0.404 0.762 0.500
0.596 0.238 0.500
0.596 0.762 0.000
0.762 0.404 0.000
0.762 0.596 0.500
```

Space-group type = P4/mcc (124)
Magnetic moment = 0.0 Bohr magnetons per cell
Formation energy from the elements = -0.35 eV/atom

=====

DFT (GGA-PBE) results for an optimized crystal structure of Hf5Ir3.

The structure in POSCAR format:
```
Hf5Ir3
1.0
7.905 0.000 0.000
-3.952 6.846 0.000
0.000 0.000 16.985
Hf Ir
30 18
Direct
0.000 0.249 0.333
0.000 0.751 0.833
0.010 0.237 0.992
0.010 0.773 0.174
0.227 0.237 0.508
0.227 0.990 0.659
0.237 0.010 0.341
0.237 0.227 0.826
0.241 0.621 0.583
0.249 0.000 0.000
0.249 0.249 0.167
0.312 0.656 0.083
0.344 0.656 0.417
0.344 0.688 0.750
0.379 0.621 0.917
0.379 0.759 0.250
0.621 0.241 0.750
0.621 0.379 0.417
0.656 0.312 0.250
0.656 0.344 0.917
0.688 0.344 0.583
0.751 0.000 0.500
0.751 0.751 0.667
0.759 0.379 0.083
0.763 0.773 0.326
0.763 0.990 0.841
0.773 0.010 0.159
0.773 0.763 0.008
0.990 0.227 0.674
0.990 0.763 0.492
0.000 0.379 0.833
0.000 0.621 0.333
0.027 0.418 0.191
0.027 0.608 0.976
0.379 0.000 0.500
0.379 0.379 0.667
0.392 0.418 0.309
0.392 0.973 0.857
0.418 0.027 0.143
0.418 0.392 0.024
0.582 0.608 0.524
0.582 0.973 0.643
0.608 0.027 0.357
0.608 0.582 0.809
0.621 0.000 0.000
0.621 0.621 0.167
0.973 0.392 0.476
0.973 0.582 0.691
```

Space-group type = P6_122 (178)
Magnetic moment = 0.0 Bohr magnetons per cell
Relative energy among the computed polymorphs = 0 kJ/mol of formula units
Formation energy from the elements = -0.82 eV/atom

=====

DFT (GGA-PBE) results for an optimized crystal structure of HfIr.

The structure in POSCAR format:
```
HfIr
1.0
9.711 0.000 0.000
0.000 9.711 0.000
0.000 0.000 3.744
Hf Ir
8 8
Direct
0.150 0.347 0.000
0.153 0.650 0.500
0.347 0.850 0.000
0.350 0.153 0.500
0.650 0.847 0.500
0.653 0.150 0.000
0.847 0.350 0.500
0.850 0.653 0.000
0.074 0.183 0.500
0.183 0.926 0.500
0.317 0.574 0.000
0.426 0.317 0.000
0.574 0.683 0.000
0.683 0.426 0.000
0.817 0.074 0.500
0.926 0.817 0.500
```

Space-group type = I4/m (87)
Magnetic moment = 0.0 Bohr magnetons per cell
Formation energy from the elements = -0.39 eV/atom

=====

DFT (GGA-PBE) results for an optimized crystal structure of Hf3Ir.

The structure in POSCAR format:
```
Hf3Ir
1.0
10.790 0.000 0.000
0.000 10.790 0.000
0.000 0.000 5.554
Hf Ir
24 8
Direct
0.041 0.041 0.250
0.041 0.459 0.750
0.101 0.750 0.000
0.154 0.154 0.750
0.154 0.346 0.250
0.250 0.601 0.500
0.250 0.899 0.500
0.346 0.154 0.250
0.346 0.346 0.750
0.399 0.750 0.000
0.459 0.041 0.750
0.459 0.459 0.250
0.541 0.541 0.750
0.541 0.959 0.250
0.601 0.250 0.000
0.654 0.654 0.250
0.654 0.846 0.750
0.750 0.101 0.500
0.750 0.399 0.500
0.846 0.654 0.750
0.846 0.846 0.250
0.899 0.250 0.000
0.959 0.541 0.250
0.959 0.959 0.750
0.044 0.750 0.500
0.250 0.544 0.000
0.250 0.956 0.000
0.456 0.750 0.500
0.544 0.250 0.500
0.750 0.044 0.000
0.750 0.456 0.000
0.956 0.250 0.500
```

Space-group type = P4_2/nbc (133)
Magnetic moment = 0.0 Bohr magnetons per cell
Formation energy from the elements = -0.55 eV/atom

=====

DFT (GGA-PBE) results for an optimized crystal structure of HfIr.

The structure in POSCAR format:
```
HfIr
1.0
14.172 0.000 0.000
0.000 3.054 0.000
0.000 0.000 4.868
Hf Ir
6 6
Direct
0.086 0.000 0.241
0.250 0.000 0.681
0.414 0.000 0.241
0.586 0.000 0.759
0.750 0.000 0.319
0.914 0.000 0.759
0.078 0.500 0.751
0.250 0.500 0.154
0.422 0.500 0.751
0.578 0.500 0.249
0.750 0.500 0.846
0.922 0.500 0.249
```

Space-group type = Pmma (51)
Magnetic moment = 0.0 Bohr magnetons per cell
Formation energy from the elements = -0.92 eV/atom

=====

DFT (GGA-PBE) results for an optimized crystal structure of HfIr.

The structure in POSCAR format:
```
HfIr
1.0
5.390 0.000 0.000
0.000 5.390 0.000
0.000 0.000 5.390
Hf Ir
4 4
Direct
0.000 0.000 0.000
0.000 0.500 0.500
0.500 0.000 0.500
0.500 0.500 0.000
0.000 0.000 0.500
0.000 0.500 0.000
0.500 0.000 0.000
0.500 0.500 0.500
```

Space-group type = Fm-3m (225)
Magnetic moment = 0.0 Bohr magnetons per cell
Formation energy from the elements = -0.57 eV/atom

=====

DFT (GGA-PBE) results for an optimized crystal structure of HfIr.

The structure in POSCAR format:
```
HfIr
1.0
7.287 0.000 0.000
0.000 7.287 0.000
0.000 0.000 7.287
Hf Ir
6 6
Direct
0.000 0.250 0.500
0.000 0.750 0.500
0.250 0.500 0.000
0.500 0.000 0.250
0.500 0.000 0.750
0.750 0.500 0.000
0.000 0.500 0.250
0.000 0.500 0.750
0.250 0.000 0.500
0.500 0.250 0.000
0.500 0.750 0.000
0.750 0.000 0.500
```

Space-group type = Pm-3n (223)
Magnetic moment = 0.0 Bohr magnetons per cell
Formation energy from the elements = 0.40 eV/atom

=====

DFT (GGA-PBE) results for an optimized crystal structure of HfIr2.

The structure in POSCAR format:
```
HfIr2
1.0
2.923 0.000 0.000
0.000 2.923 0.000
0.000 0.000 11.604
Hf Ir
2 4
Direct
0.000 0.000 0.000
0.500 0.500 0.500
0.000 0.000 0.333
0.000 0.000 0.667
0.500 0.500 0.167
0.500 0.500 0.833
```

Space-group type = I4/mmm (139)
Magnetic moment = 0.0 Bohr magnetons per cell
Formation energy from the elements = -0.43 eV/atom

=====

DFT (GGA-PBE) results for an optimized crystal structure of HfIr.

The structure in POSCAR format:
```
HfIr
1.0
3.148 0.000 0.000
0.000 3.148 0.000
0.000 0.000 3.539
Hf Ir
1 1
Direct
0.000 0.000 0.000
0.500 0.500 0.500
```

Space-group type = P4/mmm (123)
Magnetic moment = 0.0 Bohr magnetons per cell
Formation energy from the elements = -0.90 eV/atom

=====

DFT (GGA-PBE) results for an optimized crystal structure of HfIr2.

The structure in POSCAR format:
```
HfIr2
1.0
8.912 0.000 0.000
0.000 4.065 0.000
-1.490 0.000 5.395
Hf Ir
4 8
Direct
0.146 0.000 0.313
0.354 0.500 0.687
0.646 0.500 0.313
0.854 0.000 0.687
0.000 0.500 0.000
0.000 0.500 0.500
0.177 0.000 0.832
0.323 0.500 0.168
0.500 0.000 0.000
0.500 0.000 0.500
0.677 0.500 0.832
0.823 0.000 0.168
```

Space-group type = C2/m (12)
Magnetic moment = 0.0 Bohr magnetons per cell
Formation energy from the elements = -0.82 eV/atom

=====

DFT (GGA-PBE) results for an optimized crystal structure of Hf3Ir.

The structure in POSCAR format:
```
Hf3Ir
1.0
6.054 -5.358 0.000
6.054 5.358 0.000
-2.623 0.000 4.988
Hf Ir
12 4
Direct
0.000 0.000 0.000
0.000 0.294 0.647
0.161 0.647 0.136
0.353 0.057 0.461
0.353 0.237 0.051
0.353 0.454 0.673
0.353 0.839 0.864
0.546 0.647 0.327
0.706 0.000 0.353
0.706 0.294 0.000
0.763 0.647 0.949
0.943 0.647 0.539
0.062 0.356 0.209
0.062 0.938 0.500
0.644 0.356 0.500
0.644 0.938 0.791
```

Space-group type = C2 (5)
Magnetic moment = 0.0 Bohr magnetons per cell
Formation energy from the elements = -0.55 eV/atom

=====

DFT (GGA-PBE) results for an optimized crystal structure of HfIr.

The structure in POSCAR format:
```
HfIr
1.0
4.520 0.000 0.000
-2.260 3.914 0.000
0.000 0.000 5.345
Hf Ir
2 2
Direct
0.333 0.667 0.250
0.667 0.333 0.750
0.333 0.667 0.750
0.667 0.333 0.250
```

Space-group type = P6_3/mmc (194)
Magnetic moment = 0.0 Bohr magnetons per cell
Formation energy from the elements = -0.27 eV/atom

=====

DFT (GGA-PBE) results for an optimized crystal structure of K3HfIr.

The structure in POSCAR format:
```
K3HfIr
1.0
6.015 0.000 0.000
0.000 6.015 0.000
0.000 0.000 6.015
K Hf Ir
3 1 1
Direct
0.000 0.000 0.500
0.000 0.500 0.000
0.500 0.000 0.000
0.500 0.500 0.500
0.000 0.000 0.000
```

Space-group type = Pm-3m (221)
Magnetic moment = 0.0 Bohr magnetons per cell
Relative energy among the computed polymorphs = 0 kJ/mol of formula units
Formation energy from the elements = 1.70 eV/atom

=====

DFT (GGA-PBE) results for an optimized crystal structure of KHf3Ir.

The structure in POSCAR format:
```
KHf3Ir
1.0
4.685 0.000 0.000
0.000 4.685 0.000
0.000 0.000 4.685
K Hf Ir
1 3 1
Direct
0.000 0.000 0.000
0.000 0.000 0.500
0.000 0.500 0.000
0.500 0.000 0.000
0.500 0.500 0.500
```

Space-group type = Pm-3m (221)
Magnetic moment = 0.0 Bohr magnetons per cell
Relative energy among the computed polymorphs = 871 kJ/mol of formula units
Formation energy from the elements = 2.20 eV/atom